Entry from OQMD: crystalline Zn3P4H36C14N2O24 at its relaxed geometry (PBE).

a b c (Å): 6.233 10.271 11.609
angles (deg): 106.02 96.22 100.51
Fractional coordinates of all 83 atoms:
O  0.125  0.223  0.565
O  0.528  0.508  0.296
O  0.183  0.574  0.496
O  0.405  0.347  0.422
O  0.613  0.904  0.348
O  0.401  0.903  0.782
O  0.012  0.724  0.711
O  0.365  0.822  0.535
O  0.635  0.178  0.465
O  0.595  0.653  0.578
O  0.819  0.014  0.611
O  0.815  0.914  0.095
O  0.181  0.986  0.389
O  0.988  0.276  0.289
O  0.185  0.086  0.905
O  0.599  0.097  0.218
O  0.809  0.887  0.859
O  0.472  0.492  0.704
O  0.817  0.426  0.504
O  0.241  0.280  0.795
O  0.191  0.113  0.141
O  0.387  0.096  0.652
O  0.875  0.777  0.435
O  0.759  0.720  0.205
C  0.745  0.238  0.889
C  0.284  0.647  0.906
C  0.229  0.627  0.263
C  0.547  0.366  0.662
C  0.771  0.373  0.737
C  0.716  0.353  0.094
C  0.255  0.762  0.111
C  0.250  0.519  0.045
C  0.274  0.767  0.995
C  0.244  0.636  0.138
C  0.726  0.233  0.005
C  0.756  0.364  0.862
C  0.750  0.481  0.955
C  0.453  0.634  0.338
P  0.313  0.233  0.670
P  0.401  0.675  0.497
P  0.687  0.767  0.330
P  0.599  0.325  0.503
H  0.470  0.441  0.341
H  0.530  0.559  0.659
H  0.861  0.929  0.564
H  0.283  0.863  0.972
H  0.343  0.984  0.827
H  0.139  0.071  0.436
H  0.083  0.910  0.409
H  0.804  0.882  0.944
H  0.154  0.710  0.311
H  0.403  0.912  0.699
H  0.237  0.417  0.057
H  0.597  0.088  0.301
H  0.300  0.641  0.813
H  0.267  0.431  0.864
H  0.803  0.840  0.137
H  0.035  0.023  0.876
H  0.717  0.137  0.028
H  0.343  0.106  0.173
H  0.763  0.583  0.943
H  0.086  0.223  0.240
H  0.917  0.090  0.591
H  0.879  0.472  0.741
H  0.196  0.118  0.056
H  0.914  0.777  0.760
H  0.733  0.569  0.136
H  0.657  0.016  0.173
H  0.197  0.160  0.863
H  0.163  0.787  0.736
H  0.249  0.854  0.184
H  0.751  0.146  0.816
H  0.965  0.977  0.124
H  0.121  0.528  0.259
H  0.837  0.213  0.264
H  0.657  0.894  0.827
H  0.846  0.290  0.689
H  0.700  0.359  0.187
Zn  0.899  0.639  0.530
Zn  0.101  0.361  0.470
Zn  0.500  0.000  0.500
N  0.270  0.528  0.933
N  0.730  0.472  0.067

## Properties
* raw total energy: -5.824 eV/atom


Entry from OQMD: crystalline DyRePb at its relaxed geometry (PBE).

a b c (Å): 4.837 4.837 4.837
angles (deg): 60.00 60.00 60.00
Site moments in Bohr magnetons follow the coordinates.
Fractional coordinates of all 3 atoms:
Dy  0.000  0.000  0.000  -0.01
Pb  0.250  0.250  0.250  -0.01
Re  0.750  0.750  0.750  0.28

## Properties
* offset from the most stable computed form: 0.399 eV per atom
* raw total energy: -5.671 eV/atom